An optimized crystal structure of KPrDyNbO6. Source: Alexandria via LeMat-Bulk, functional PBE-GGA.

It has space group F-43m (No. 216), with a = 8.407 Å, b = 8.407 Å, c = 8.407 Å, α = 90.00°, β = 90.00° and γ = 90.00°. The distinct sites, in fractional coordinates, are K at (0.000, 0.000, 0.000), Pr at (0.000, 0.000, 0.500), Dy at (0.250, 0.250, 0.750), Nb at (0.250, 0.250, 0.250) and O at (0.012, 0.250, 0.250).

The total energy comes out at -7.80 eV/atom. As for the formation energy without anion corrections: -2.766 eV/atom. The value obtained for the calculated volume is 14.85 A^3/atom.

An optimized crystal structure of K3Dy3NbSe8. Source: Alexandria via LeMat-Bulk, functional PBE-GGA.

It has space group R-3m (No. 166, hexagonal axes), with a = 8.1668 Å, b = 8.1668 Å, c = 23.5950 Å, α = 90.00°, β = 90.00° and γ = 120.00°. The distinct sites, in fractional coordinates, are K at (0.0000, 0.5000, 0.0000), Dy at (0.0000, 0.5000, 0.5000), Nb at (0.0000, 0.0000, 0.5000), Se at (0.0000, 0.0000, 0.2355) and Se at (0.0201, 0.5101, 0.2318).

The total energy comes out at -5.19 eV/atom. As for the formation energy without anion corrections: -1.516 eV/atom. The value obtained for the calculated volume is 30.29 A^3/atom.

An optimized crystal structure of K3NdDy2O6. Source: Alexandria via LeMat-Bulk, functional PBE-GGA.

It has space group C2/m (No. 12), with a = 6.129 Å, b = 10.617 Å, c = 6.603 Å, α = 90.00°, β = 108.02° and γ = 90.00°. The distinct sites, in fractional coordinates, are K at (0.000, 0.000, 0.000), K at (0.000, 0.332, 0.000), Nd at (0.000, 0.500, 0.500), Dy at (0.000, 0.167, 0.500), O at (0.219, 0.000, 0.687) and O at (0.234, 0.328, 0.687).

The total energy comes out at -6.63 eV/atom. As for the formation energy without anion corrections: -2.709 eV/atom. The value obtained for the calculated volume is 17.03 A^3/atom.

An optimized crystal structure of KNdDySbO6. Source: Alexandria via LeMat-Bulk, functional PBE-GGA.

It has space group F-43m (No. 216), with a = 8.347 Å, b = 8.347 Å, c = 8.347 Å, α = 90.00°, β = 90.00° and γ = 90.00°. The distinct sites, in fractional coordinates, are K at (0.000, 0.000, 0.000), Nd at (0.000, 0.000, 0.500), Dy at (0.250, 0.250, 0.750), Sb at (0.250, 0.250, 0.250) and O at (0.012, 0.250, 0.250).

The total energy comes out at -6.84 eV/atom. As for the formation energy without anion corrections: -2.402 eV/atom. The value obtained for the calculated volume is 14.54 A^3/atom.

An optimized crystal structure of K3NdDy2S6. Source: Alexandria via LeMat-Bulk, functional PBE-GGA.

It has space group C2/m (No. 12), with a = 7.102 Å, b = 12.302 Å, c = 7.753 Å, α = 90.00°, β = 107.79° and γ = 90.00°. The distinct sites, in fractional coordinates, are K at (0.000, 0.000, 0.000), K at (0.000, 0.334, 0.000), Nd at (0.000, 0.500, 0.500), Dy at (0.000, 0.167, 0.500), S at (0.226, 0.000, 0.703) and S at (0.239, 0.329, 0.703).

The total energy comes out at -5.38 eV/atom. As for the formation energy without anion corrections: -1.874 eV/atom. The value obtained for the calculated volume is 26.87 A^3/atom.

An optimized crystal structure of K3Nd2DyS6. Source: Alexandria via LeMat-Bulk, functional PBE-GGA.

It has space group C2/m (No. 12), with a = 7.185 Å, b = 12.447 Å, c = 7.773 Å, α = 90.00°, β = 107.96° and γ = 90.00°. The distinct sites, in fractional coordinates, are K at (0.000, 0.000, 0.000), K at (0.000, 0.333, 0.000), Nd at (0.000, 0.167, 0.500), Dy at (0.000, 0.500, 0.500), S at (0.231, 0.337, 0.705) and S at (0.243, 0.000, 0.705).

The total energy comes out at -5.38 eV/atom. As for the formation energy without anion corrections: -1.861 eV/atom. The value obtained for the calculated volume is 27.55 A^3/atom.

An optimized crystal structure of KNd2DyS4. Source: Alexandria via LeMat-Bulk, functional PBE-GGA.

It has space group P2/m (No. 10), with a = 7.104 Å, b = 4.050 Å, c = 7.143 Å, α = 90.00°, β = 108.73° and γ = 90.00°. The distinct sites, in fractional coordinates, are K at (0.000, 0.000, 0.000), Nd at (0.500, 0.000, 0.500), Nd at (0.500, 0.500, 0.000), Dy at (0.000, 0.500, 0.500), S at (0.244, 0.000, 0.735) and S at (0.258, 0.500, 0.269).

The total energy comes out at -5.84 eV/atom. As for the formation energy without anion corrections: -1.869 eV/atom. The value obtained for the calculated volume is 24.33 A^3/atom.

An optimized crystal structure of KNdDy4S8. Source: Alexandria via LeMat-Bulk, functional PBE-GGA.

It has space group R3m (No. 160, hexagonal axes), with a = 8.2148 Å, b = 8.2148 Å, c = 20.5223 Å, α = 90.00°, β = 90.00° and γ = 120.00°. The distinct sites, in fractional coordinates, are K at (0.0000, 0.0000, 0.0000), Nd at (0.0000, 0.0000, 0.6325), Dy at (0.0000, 0.0000, 0.2538), Dy at (0.1725, 0.3450, 0.4601), S at (0.0000, 0.0000, 0.3855), S at (0.0000, 0.0000, 0.8606), S at (0.0390, 0.5195, 0.3868) and S at (0.1742, 0.3483, 0.2072).

The total energy comes out at -6.02 eV/atom. As for the formation energy without anion corrections: -1.925 eV/atom. The value obtained for the calculated volume is 28.56 A^3/atom.

An optimized crystal structure of K4Nd3DySe8. Source: Alexandria via LeMat-Bulk, functional PBE-GGA.

It has space group R-3m (No. 166, hexagonal axes), with a = 8.6334 Å, b = 8.6334 Å, c = 23.1053 Å, α = 90.00°, β = 90.00° and γ = 120.00°. The distinct sites, in fractional coordinates, are K at (0.0000, 0.0000, 0.0000), K at (0.0000, 0.5000, 0.0000), Nd at (0.0000, 0.5000, 0.5000), Dy at (0.0000, 0.0000, 0.5000), Se at (0.0000, 0.0000, 0.2374) and Se at (0.0072, 0.5036, 0.2362).

The total energy comes out at -4.95 eV/atom. As for the formation energy without anion corrections: -1.754 eV/atom. The value obtained for the calculated volume is 31.07 A^3/atom.

An optimized crystal structure of K3NdDy2Se6. Source: Alexandria via LeMat-Bulk, functional PBE-GGA.

It has space group C2/m (No. 12), with a = 7.377 Å, b = 12.778 Å, c = 8.075 Å, α = 90.00°, β = 107.74° and γ = 90.00°. The distinct sites, in fractional coordinates, are K at (0.000, 0.000, 0.000), K at (0.000, 0.335, 0.000), Nd at (0.000, 0.500, 0.500), Dy at (0.000, 0.167, 0.500), Se at (0.228, 0.000, 0.707) and Se at (0.240, 0.329, 0.707).

The total energy comes out at -4.94 eV/atom. As for the formation energy without anion corrections: -1.759 eV/atom. The value obtained for the calculated volume is 30.21 A^3/atom.

An optimized crystal structure of K3Nd2DySe6. Source: Alexandria via LeMat-Bulk, functional PBE-GGA.

It has space group C2/m (No. 12), with a = 7.456 Å, b = 12.915 Å, c = 8.094 Å, α = 90.00°, β = 107.89° and γ = 90.00°. The distinct sites, in fractional coordinates, are K at (0.000, 0.000, 0.000), K at (0.000, 0.332, 0.000), Nd at (0.000, 0.167, 0.500), Dy at (0.000, 0.500, 0.500), Se at (0.232, 0.337, 0.709) and Se at (0.244, 0.000, 0.709).

The total energy comes out at -4.95 eV/atom. As for the formation energy without anion corrections: -1.755 eV/atom. The value obtained for the calculated volume is 30.91 A^3/atom.

An optimized crystal structure of K2NdDyTe4. Source: Alexandria via LeMat-Bulk, functional PBE-GGA.

It has space group P2/m (No. 10), with a = 7.896 Å, b = 4.558 Å, c = 8.661 Å, α = 90.00°, β = 107.67° and γ = 90.00°. The distinct sites, in fractional coordinates, are K at (0.000, 0.000, 0.000), K at (0.500, 0.500, 0.000), Nd at (0.000, 0.500, 0.500), Dy at (0.500, 0.000, 0.500), Te at (0.244, 0.000, 0.713) and Te at (0.270, 0.500, 0.290).

The total energy comes out at -4.42 eV/atom. As for the formation energy without anion corrections: -1.405 eV/atom. The value obtained for the calculated volume is 37.13 A^3/atom.

An optimized crystal structure of K4NdDy3Te8. Source: Alexandria via LeMat-Bulk, functional PBE-GGA.

It has space group R-3m (No. 166, hexagonal axes), with a = 9.0520 Å, b = 9.0520 Å, c = 24.7501 Å, α = 90.00°, β = 90.00° and γ = 120.00°. The distinct sites, in fractional coordinates, are K at (0.0000, 0.0000, 0.0000), K at (0.0000, 0.5000, 0.0000), Nd at (0.0000, 0.0000, 0.5000), Dy at (0.0000, 0.5000, 0.5000), Te at (0.0000, 0.0000, 0.2358) and Te at (0.0066, 0.5033, 0.7631).

The total energy comes out at -4.41 eV/atom. As for the formation energy without anion corrections: -1.400 eV/atom. The value obtained for the calculated volume is 36.59 A^3/atom.

An optimized crystal structure of KNd3Dy2Te6. Source: Alexandria via LeMat-Bulk, functional PBE-GGA.

It has space group C2/m (No. 12), with a = 19.644 Å, b = 4.451 Å, c = 9.110 Å, α = 90.00°, β = 103.60° and γ = 90.00°. The distinct sites, in fractional coordinates, are K at (0.000, 0.000, 0.000), Nd at (0.000, 0.000, 0.500), Nd at (0.158, 0.500, 0.817), Dy at (0.167, 0.500, 0.340), Te at (0.007, 0.500, 0.260), Te at (0.169, 0.000, 0.576) and Te at (0.174, 0.000, 0.093).

The total energy comes out at -4.97 eV/atom. As for the formation energy without anion corrections: -1.350 eV/atom. The value obtained for the calculated volume is 32.26 A^3/atom.

An optimized crystal structure of KNd2Dy3Te6. Source: Alexandria via LeMat-Bulk, functional PBE-GGA.

It has space group C2/m (No. 12), with a = 19.660 Å, b = 4.404 Å, c = 9.121 Å, α = 90.00°, β = 104.64° and γ = 90.00°. The distinct sites, in fractional coordinates, are K at (0.000, 0.000, 0.000), Nd at (0.173, 0.500, 0.349), Dy at (0.000, 0.000, 0.500), Dy at (0.164, 0.500, 0.825), Te at (0.000, 0.500, 0.267), Te at (0.162, 0.000, 0.592) and Te at (0.174, 0.000, 0.080).

The total energy comes out at -4.96 eV/atom. As for the formation energy without anion corrections: -1.352 eV/atom. The value obtained for the calculated volume is 31.83 A^3/atom.

An optimized crystal structure of K3Nd3DyTe8. Source: Alexandria via LeMat-Bulk, functional PBE-GGA.

It has space group R-3m (No. 166, hexagonal axes), with a = 9.0212 Å, b = 9.0212 Å, c = 25.5055 Å, α = 90.00°, β = 90.00° and γ = 120.00°. The distinct sites, in fractional coordinates, are K at (0.0000, 0.5000, 0.0000), Nd at (0.0000, 0.5000, 0.5000), Dy at (0.0000, 0.0000, 0.5000), Te at (0.0000, 0.0000, 0.2386) and Te at (0.0065, 0.5033, 0.2366).

The total energy comes out at -4.48 eV/atom. As for the formation energy without anion corrections: -1.325 eV/atom. The value obtained for the calculated volume is 39.96 A^3/atom.

An optimized crystal structure of KDy2Ni. Source: Alexandria via LeMat-Bulk, functional PBE-GGA.

It has space group R-3m (No. 166, hexagonal axes), with a = 3.9953 Å, b = 3.9953 Å, c = 32.7786 Å, α = 90.00°, β = 90.00° and γ = 120.00°. The distinct sites, in fractional coordinates, are K at (0.0000, 0.0000, 0.0000), Dy at (0.0000, 0.0000, 0.1245) and Ni at (0.0000, 0.0000, 0.5000).

The total energy comes out at -4.02 eV/atom. For the formation energy, the calculation gives 0.001 eV per atom. The value obtained for the calculated volume is 37.76 A^3/atom.

An optimized crystal structure of K4Dy3NpO8. Source: Alexandria via LeMat-Bulk, functional PBE-GGA.

It has space group R-3m (No. 166, hexagonal axes), with a = 7.0126 Å, b = 7.0126 Å, c = 18.8383 Å, α = 90.00°, β = 90.00° and γ = 120.00°. The distinct sites, in fractional coordinates, are K at (0.0000, 0.0000, 0.0000), K at (0.0000, 0.5000, 0.0000), Dy at (0.0000, 0.5000, 0.5000), Np at (0.0000, 0.0000, 0.5000), O at (0.0000, 0.0000, 0.2283) and O at (0.0030, 0.5015, 0.7710).

The total energy comes out at -7.04 eV/atom. As for the formation energy without anion corrections: -2.610 eV/atom. The value obtained for the calculated volume is 16.71 A^3/atom.

An optimized crystal structure of KDyNpO6. Source: Alexandria via LeMat-Bulk, functional PBE-GGA.

It has space group P4_2nm (No. 102), with a = 5.359 Å, b = 5.359 Å, c = 10.519 Å, α = 90.00°, β = 90.00° and γ = 90.00°. The distinct sites, in fractional coordinates, are K at (0.000, 0.000, 0.000), Dy at (0.000, 0.000, 0.669), Np at (0.000, 0.000, 0.337), O at (0.164, 0.164, 0.486), O at (0.204, 0.204, 0.213) and O at (0.232, 0.232, 0.808).

The total energy comes out at -7.83 eV/atom. As for the formation energy without anion corrections: -2.455 eV/atom. The value obtained for the calculated volume is 16.78 A^3/atom.

An optimized crystal structure of KDy2NpO6. Source: Alexandria via LeMat-Bulk, functional PBE-GGA.

It has space group R3 (No. 146, hexagonal axes), with a = 5.9461 Å, b = 5.9461 Å, c = 15.6922 Å, α = 90.00°, β = 90.00° and γ = 120.00°. The distinct sites, in fractional coordinates, are K at (0.0000, 0.0000, 0.0000), Dy at (0.0000, 0.0000, 0.2262), Dy at (0.0000, 0.0000, 0.7420), Np at (0.0000, 0.0000, 0.5355), O at (0.0002, 0.3308, 0.1419) and O at (0.1107, 0.7383, 0.2935).

The total energy comes out at -8.34 eV/atom. As for the formation energy without anion corrections: -3.039 eV/atom. The value obtained for the calculated volume is 16.02 A^3/atom.